First-principles (GGA-PBE) data for an optimized crystal structure of Fe2BSe, as listed in the Alexandria database.

Values from the calculation:
Energy relative to the lowest polymorph listed for this composition   0.39 eV per formula unit
Formation energy from raw total energies   0.50 eV/atom
Space group   Fm-3m, No. 225

Cell and atoms, written as extended XYZ:
```
4
Lattice="0.0000 2.7488 2.7488 2.7488 0.0000 2.7488 2.7488 2.7488 0.0000" Properties=species:S:1:pos:R:3 pbc="T T T"
Se 2.7488 2.7488 2.7488
Fe 4.1232 4.1232 4.1232
Fe 1.3744 1.3744 1.3744
B 0.0000 0.0000 0.0000
```

---

First-principles (GGA-PBE) data for an optimized crystal structure of FeB3Se, as listed in the Alexandria database.

Values from the calculation:
Energy relative to the lowest polymorph listed for this composition   4.54 eV per formula unit
Formation energy from raw total energies   2.20 eV/atom
Space group   Pm-3m, No. 221

Cell and atoms, written as extended XYZ:
```
5
Lattice="-3.0579 -2.6246 0.4049 1.3886 -1.0538 3.6558 -2.2637 2.8990 1.6956" Properties=species:S:1:pos:R:3 pbc="T T T"
Fe -1.9665 -0.3897 2.8781
B -1.5290 -1.3123 0.2025
B 0.6943 -0.5269 1.8279
Se 0.0000 0.0000 0.0000
B -1.1319 1.4495 0.8478
```

---

First-principles (GGA-PBE) data for an optimized crystal structure of VFe2BSe, as listed in the Alexandria database.

Values from the calculation:
Formation energy from raw total energies   1.44 eV/atom
Space group   P4/mmm, No. 123

Cell and atoms, written as extended XYZ:
```
5
Lattice="4.3260 0.0000 0.0000 0.0000 4.0984 0.0000 0.0000 0.0000 4.3260" Properties=species:S:1:pos:R:3 pbc="T T T"
B 0.0000 2.0492 0.0000
Fe 2.1630 0.0000 0.0000
Fe 0.0000 0.0000 2.1630
Se 0.0000 0.0000 0.0000
V 2.1630 2.0492 2.1630
```